The following is a DFT calculation (GGA-PBE) of crystalline FeSiBr2 at its relaxed geometry.

Summary:
V	79.0	Å³ per cell
symmetry	Fm-3m (225)
ΔE to the lowest computed polymorph	715.2	meV/atom

Unit cell a=4.8171 b=4.8171 c=4.8171 alpha=60.00 beta=60.00 gamma=60.00
Closest atoms and distances in Å follow each position.
Atoms (fractional coordinates):
Br  0.2500  0.2500  0.2500  4 Fe 2.95, 4 Si 2.95
Fe  0.5000  0.5000  0.5000  8 Br 2.95
Br  0.7500  0.7500  0.7500  4 Si 2.95, 4 Fe 2.95
Si  0.0000  0.0000  0.0000  8 Br 2.95

---

The following is a DFT calculation (GGA-PBE) of crystalline FeSiBr at its relaxed geometry.

Summary:
V	63.8	Å³ per cell
symmetry	F-43m (216)
ΔE to the lowest computed polymorph	720.7	meV/atom

Unit cell a=4.4862 b=4.4862 c=4.4862 alpha=60.00 beta=60.00 gamma=60.00
Closest atoms and distances in Å follow each position.
Atoms (fractional coordinates):
Fe  0.5000  0.5000  0.5000  4 Si 2.75
Br  0.0000  0.0000  0.0000  4 Si 2.75
Si  0.7500  0.7500  0.7500  4 Fe 2.75, 4 Br 2.75

---

The following is a DFT calculation (GGA-PBE) of crystalline FeSiBr2 at its relaxed geometry.

Summary:
V	92.8	Å³ per cell
symmetry	R-3m (166)
ΔE to the lowest computed polymorph	627.6	meV/atom

Unit cell a=9.4419 b=9.4419 c=9.4419 alpha=20.79 beta=20.79 gamma=20.79
Closest atoms and distances in Å follow each position.
Atoms (fractional coordinates):
Si  0.5000  0.5000  0.5000  6 Br 3.03
Br  0.9165  0.9165  0.9165  1 Fe 2.31
Br  0.0835  0.0835  0.0835  1 Fe 2.31
Fe  0.0000  0.0000  0.0000  2 Br 2.31

---

The following is a DFT calculation (GGA-PBE) of crystalline FeSi2Br at its relaxed geometry.

Summary:
V	82.7	Å³ per cell
symmetry	R3m (160)
ΔE to the lowest computed polymorph	34.5	meV/atom

Unit cell a=7.2079 b=7.2079 c=7.2079 alpha=29.96 beta=29.96 gamma=29.96
Closest atoms and distances in Å follow each position.
Atoms (fractional coordinates):
Si  0.2899  0.2899  0.2899  3 Si 2.31
Fe  0.7367  0.7367  0.7367  3 Si 2.63, 3 Br 2.63
Si  0.9968  0.9968  0.9968  3 Si 2.31
Br  0.4766  0.4766  0.4766  3 Fe 2.63

---

The following is a DFT calculation (GGA-PBE) of crystalline FeSi2Br at its relaxed geometry.

Summary:
V	73.6	Å³ per cell
symmetry	P2/m (10)
ΔE to the lowest computed polymorph	208.1	meV/atom

Unit cell a=4.3344 b=4.3046 c=4.3471 alpha=65.10 beta=90.00 gamma=90.00
Closest atoms and distances in Å follow each position.
Atoms (fractional coordinates):
Si  0.0000  0.5801  0.5804  3 Si 2.48-2.62, 2 Fe 2.50
Si  0.0000  0.9199  0.9196  3 Si 2.48-2.62, 2 Fe 2.50
Fe  0.5000  0.7500  0.7500  2 Br 2.33, 4 Si 2.50
Br  0.5000  0.2500  0.2500  2 Fe 2.33

---

The following is a DFT calculation (GGA-PBE) of crystalline FeSiBr2 at its relaxed geometry.

Summary:
V	99.7	Å³ per cell
symmetry	Cmm2 (35)
ΔE to the lowest computed polymorph	254.3	meV/atom

Unit cell a=3.6052 b=3.6052 c=9.4791 alpha=90.00 beta=90.00 gamma=125.97
Closest atoms and distances in Å follow each position.
Atoms (fractional coordinates):
Br  0.0000  0.0000  0.9221  2 Si 2.57
Si  0.5000  0.5000  0.7130  2 Fe 2.41, 2 Br 2.57
Br  0.5000  0.5000  0.3378  2 Fe 2.43
Fe  0.0000  0.0000  0.5271  2 Si 2.41, 2 Br 2.43

---

The following is a DFT calculation (GGA-PBE) of crystalline FeSiBr2 at its relaxed geometry.

Summary:
V	94.0	Å³ per cell
symmetry	Cmmm (65)
ΔE to the lowest computed polymorph	545.2	meV/atom

Unit cell a=3.5497 b=3.5497 c=9.0561 alpha=90.00 beta=90.00 gamma=124.57
Closest atoms and distances in Å follow each position.
Atoms (fractional coordinates):
Si  0.5000  0.5000  0.7500  4 Br 3.12, 2 Si 3.30
Fe  0.5000  0.5000  0.2500  4 Br 2.50
Br  0.0000  0.0000  0.4575  2 Fe 2.50
Br  0.0000  0.0000  0.0425  2 Fe 2.50

---

The following is a DFT calculation (GGA-PBE) of crystalline FeSiBr2 at its relaxed geometry.

Summary:
V	88.0	Å³ per cell
symmetry	Pmmm (47)
ΔE to the lowest computed polymorph	665.8	meV/atom

Unit cell a=3.3017 b=6.1265 c=4.3501 alpha=90.00 beta=90.00 gamma=90.00
Closest atoms and distances in Å follow each position.
Atoms (fractional coordinates):
Br  0.5000  0.5000  0.0000  4 Si 2.73
Br  0.0000  0.0000  0.0000  4 Fe 2.73
Si  0.0000  0.5000  0.5000  4 Br 2.73
Fe  0.5000  0.0000  0.5000  4 Br 2.73

---

The following is a DFT calculation (GGA-PBE) of crystalline FeSiBr2 at its relaxed geometry.

Summary:
V	83.2	Å³ per cell
symmetry	F-43m (216)
ΔE to the lowest computed polymorph	915.9	meV/atom

Unit cell a=4.9008 b=4.9008 c=4.9008 alpha=60.00 beta=60.00 gamma=60.00
Closest atoms and distances in Å follow each position.
Atoms (fractional coordinates):
Br  0.2500  0.2500  0.2500  4 Fe 3.00, 4 Br 3.00
Br  0.0000  0.0000  0.0000  4 Si 3.00, 4 Br 3.00
Fe  0.5000  0.5000  0.5000  4 Br 3.00, 4 Si 3.00
Si  0.7500  0.7500  0.7500  4 Br 3.00, 4 Fe 3.00

---

The following is a DFT calculation (GGA-PBE) of crystalline FeSiBr2 at its relaxed geometry.

Summary:
V	92.6	Å³ per cell
symmetry	R-3m (166)
ΔE to the lowest computed polymorph	332.6	meV/atom

Unit cell a=9.0469 b=9.0469 c=9.0469 alpha=22.19 beta=22.19 gamma=22.19
Closest atoms and distances in Å follow each position.
Atoms (fractional coordinates):
Fe  0.5000  0.5000  0.5000  6 Br 2.59
Br  0.8951  0.8951  0.8951  3 Fe 2.59, 1 Si 2.78
Si  0.0000  0.0000  0.0000  2 Br 2.78
Br  0.1049  0.1049  0.1049  3 Fe 2.59, 1 Si 2.78

---

The following ΔE_f (raw) values (in eV per formula unit) correspond, in order, to the records above: 2.61; 2.96; 2.26; 0.99; 1.68; 0.77; 1.93; 2.41; 3.41; 1.08.